*w*
DFT (PBE) results for a relaxed CaYB2 crystal.

The structure in CIF format:
```
data_CaYB2
_cell_length_a 6.929
_cell_length_b 6.929
_cell_length_c 6.830
_cell_angle_alpha 90.00
_cell_angle_beta 90.00
_cell_angle_gamma 90.00
_symmetry_space_group_name_H-M 'P 1'
_symmetry_Int_Tables_number 1
loop_
_symmetry_equiv_pos_as_xyz
'x,y,z'
loop_
_atom_site_label
_atom_site_type_symbol
_atom_site_fract_x
_atom_site_fract_y
_atom_site_fract_z
Ca1 Ca 0.000 0.000 0.000
Ca2 Ca 0.000 0.500 0.250
Ca3 Ca 0.500 0.000 0.750
Ca4 Ca 0.500 0.500 0.500
Y1 Y 0.000 0.000 0.500
Y2 Y 0.000 0.500 0.750
Y3 Y 0.500 0.000 0.250
Y4 Y 0.500 0.500 0.000
B1 B 0.238 0.250 0.625
B2 B 0.250 0.738 0.875
B3 B 0.250 0.762 0.375
B4 B 0.262 0.250 0.125
B5 B 0.738 0.750 0.125
B6 B 0.750 0.238 0.375
B7 B 0.750 0.262 0.875
B8 B 0.762 0.750 0.625
```

Values from the calculation:
M_tot = 0.000 μB per formula unit

*x*
DFT (PBE) results for a relaxed CaYB2 crystal.

The structure in CIF format:
```
data_CaYB2
_cell_length_a 6.476
_cell_length_b 6.476
_cell_length_c 6.476
_cell_angle_alpha 90.00
_cell_angle_beta 90.00
_cell_angle_gamma 90.00
_symmetry_space_group_name_H-M 'P 1'
_symmetry_Int_Tables_number 1
loop_
_symmetry_equiv_pos_as_xyz
'x,y,z'
loop_
_atom_site_label
_atom_site_type_symbol
_atom_site_fract_x
_atom_site_fract_y
_atom_site_fract_z
Ca1 Ca 0.000 0.000 0.000
Ca2 Ca 0.000 0.500 0.500
Ca3 Ca 0.500 0.000 0.500
Ca4 Ca 0.500 0.500 0.000
Y1 Y 0.000 0.000 0.500
Y2 Y 0.000 0.500 0.000
Y3 Y 0.500 0.000 0.000
Y4 Y 0.500 0.500 0.500
B1 B 0.250 0.250 0.250
B2 B 0.250 0.250 0.750
B3 B 0.250 0.750 0.250
B4 B 0.250 0.750 0.750
B5 B 0.750 0.250 0.250
B6 B 0.750 0.250 0.750
B7 B 0.750 0.750 0.250
B8 B 0.750 0.750 0.750
```

Values from the calculation:
M_tot = 0.000 μB per formula unit

Tell me which of them is the least stable. Sure, it is *w*.

*w*
DFT (PBE) results for a relaxed Ca2ZnB crystal.

The structure in CIF format:
```
data_Ca2ZnB
_cell_length_a 6.926
_cell_length_b 6.926
_cell_length_c 6.926
_cell_angle_alpha 90.00
_cell_angle_beta 90.00
_cell_angle_gamma 90.00
_symmetry_space_group_name_H-M 'P 1'
_symmetry_Int_Tables_number 1
loop_
_symmetry_equiv_pos_as_xyz
'x,y,z'
loop_
_atom_site_label
_atom_site_type_symbol
_atom_site_fract_x
_atom_site_fract_y
_atom_site_fract_z
Ca1 Ca 0.250 0.250 0.250
Ca2 Ca 0.250 0.250 0.750
Ca3 Ca 0.250 0.750 0.250
Ca4 Ca 0.250 0.750 0.750
Ca5 Ca 0.750 0.250 0.250
Ca6 Ca 0.750 0.250 0.750
Ca7 Ca 0.750 0.750 0.250
Ca8 Ca 0.750 0.750 0.750
Zn1 Zn 0.000 0.000 0.000
Zn2 Zn 0.000 0.500 0.500
Zn3 Zn 0.500 0.000 0.500
Zn4 Zn 0.500 0.500 0.000
B1 B 0.000 0.000 0.500
B2 B 0.000 0.500 0.000
B3 B 0.500 0.000 0.000
B4 B 0.500 0.500 0.500
```

Values from the calculation:
M_tot = 0.000 μB per formula unit

*x*
DFT (PBE) results for a relaxed Ca2ZnB crystal.

The structure in CIF format:
```
data_Ca2ZnB
_cell_length_a 7.654
_cell_length_b 7.654
_cell_length_c 6.865
_cell_angle_alpha 90.00
_cell_angle_beta 90.00
_cell_angle_gamma 90.00
_symmetry_space_group_name_H-M 'P 1'
_symmetry_Int_Tables_number 1
loop_
_symmetry_equiv_pos_as_xyz
'x,y,z'
loop_
_atom_site_label
_atom_site_type_symbol
_atom_site_fract_x
_atom_site_fract_y
_atom_site_fract_z
Ca1 Ca 0.198 0.250 0.125
Ca2 Ca 0.250 0.698 0.375
Ca3 Ca 0.250 0.802 0.875
Ca4 Ca 0.302 0.250 0.625
Ca5 Ca 0.698 0.750 0.625
Ca6 Ca 0.750 0.198 0.875
Ca7 Ca 0.750 0.302 0.375
Ca8 Ca 0.802 0.750 0.125
Zn1 Zn 0.000 0.000 0.500
Zn2 Zn 0.000 0.500 0.750
Zn3 Zn 0.500 0.000 0.250
Zn4 Zn 0.500 0.500 0.000
B1 B 0.000 0.000 0.000
B2 B 0.000 0.500 0.250
B3 B 0.500 0.000 0.750
B4 B 0.500 0.500 0.500
```

Values from the calculation:
M_tot = 0.000 μB per formula unit

Tell me which of them is the least stable. Sure, it is *x*.

*w*
DFT (PBE) results for a relaxed Ca3ZrB crystal.

The structure in CIF format:
```
data_Ca3ZrB
_cell_length_a 5.305
_cell_length_b 5.305
_cell_length_c 5.305
_cell_angle_alpha 90.00
_cell_angle_beta 90.00
_cell_angle_gamma 90.00
_symmetry_space_group_name_H-M 'P 1'
_symmetry_Int_Tables_number 1
loop_
_symmetry_equiv_pos_as_xyz
'x,y,z'
loop_
_atom_site_label
_atom_site_type_symbol
_atom_site_fract_x
_atom_site_fract_y
_atom_site_fract_z
Ca1 Ca 0.000 0.000 0.500
Ca2 Ca 0.000 0.500 0.000
Ca3 Ca 0.500 0.000 0.000
Zr1 Zr 0.500 0.500 0.500
B1 B 0.000 0.000 0.000
```

Values from the calculation:
M_tot = 2.746 μB per formula unit

*x*
DFT (PBE) results for a relaxed Ca3ZrB crystal.

The structure in CIF format:
```
data_Ca3ZrB
_cell_length_a 5.702
_cell_length_b 5.702
_cell_length_c 5.702
_cell_angle_alpha 90.00
_cell_angle_beta 90.00
_cell_angle_gamma 90.00
_symmetry_space_group_name_H-M 'P 1'
_symmetry_Int_Tables_number 1
loop_
_symmetry_equiv_pos_as_xyz
'x,y,z'
loop_
_atom_site_label
_atom_site_type_symbol
_atom_site_fract_x
_atom_site_fract_y
_atom_site_fract_z
Ca1 Ca 0.000 0.000 0.500
Ca2 Ca 0.000 0.500 0.000
Ca3 Ca 0.500 0.000 0.000
Zr1 Zr 0.000 0.000 0.000
B1 B 0.500 0.500 0.500
```

Values from the calculation:
M_tot = 1.010 μB per formula unit

Tell me which of them is the least stable. Sure, it is *x*.